# 1
Here is TmZrSnHg after structural relaxation from Alexandria via LeMat-Bulk. Energies are from PBE.

Summary:
total magnetic moment	0.03	μB per formula unit
formation energy	-0.3323	eV per atom
VASP energy	-18.65	eV/cell

Geometry as extended XYZ:
```
4
Lattice="0.000 3.614 3.614 3.614 0.000 3.614 3.614 3.614 0.000" Properties=species:S:1:pos:R:3 pbc="T T T"
Tm 0.000 0.000 0.000
Zr 3.614 3.614 3.614
Sn 5.421 5.421 5.421
Hg 1.807 1.807 1.807
```


# 2
Here is USn2Hg after structural relaxation from Alexandria via LeMat-Bulk. Energies are from PBE.

Summary:
total magnetic moment	2.58	μB per formula unit
formation energy	-0.0734	eV per atom
VASP energy	-19.89	eV/cell

Geometry as extended XYZ:
```
4
Lattice="4.745 0.000 0.000 0.000 4.745 0.000 0.000 0.000 4.377" Properties=species:S:1:pos:R:3 pbc="T T T"
U 0.000 0.000 0.000
Sn 0.000 2.372 2.188
Sn 2.372 0.000 2.188
Hg 2.372 2.372 0.000
```